DFT (PBE) results for crystalline Cs2CoAg2Br6 at its relaxed geometry.

POSCAR file:
```
Cs2CoAg2Br6
1.0
4.031 2.327 6.721
-4.031 2.327 6.721
0.000 -4.655 6.721
Cs Co Ag Br
2 1 2 6
Direct
0.236 0.236 0.236 Cs
0.764 0.764 0.764 Cs
0.000 0.000 0.000 Co
0.423 0.423 0.423 Ag
0.577 0.577 0.577 Ag
0.213 0.773 0.773 Br
0.227 0.227 0.787 Br
0.227 0.787 0.227 Br
0.773 0.213 0.773 Br
0.773 0.773 0.213 Br
0.787 0.227 0.227 Br
```

## Properties
As for the size of the total moment: 3.0 μB/cell. As for the density of states at the Fermi level: 9.436 states/eV per cell. For the formation energy without anion corrections, the calculation gives -799 meV/atom. The space-group type is R-3m, No. 166. As for the crystal system: trigonal.

***

DFT (PBE) results for crystalline Ac2Mo2C3 at its relaxed geometry.

POSCAR file:
```
Ac2Mo2C3
1.0
6.333 -1.801 0.000
6.333 1.801 0.000
-2.954 0.000 5.468
Ac Mo C
2 2 3
Direct
0.101 0.101 0.308 Ac
0.899 0.899 0.692 Ac
0.335 0.335 0.182 Mo
0.665 0.665 0.818 Mo
0.247 0.247 0.790 C
0.500 0.500 0.500 C
0.753 0.753 0.210 C
```

## Properties
As for the size of the total moment: 0.0 μB/cell. As for the density of states at the Fermi level: 3.162 states/eV per cell. The space-group type is C2/m, No. 12. The electronic total energy is -57.7 eV per cell. As for the crystal system: monoclinic.

***

DFT (PBE) results for crystalline CsUTlF6 at its relaxed geometry.

POSCAR file:
```
CsUTlF6
1.0
3.476 -6.015 0.000
3.476 6.015 0.000
-0.002 0.000 5.518
Cs U Tl F
1 1 1 6
Direct
0.000 0.000 0.000 Cs
0.668 0.332 0.500 U
0.336 0.664 0.500 Tl
0.401 0.336 0.288 F
0.409 0.069 0.717 F
0.661 0.062 0.286 F
0.664 0.599 0.712 F
0.931 0.591 0.283 F
0.938 0.339 0.714 F
```

## Properties
As for the size of the total moment: 2.0 μB/cell. As for the density of states at the Fermi level: 6.159 states/eV per cell. For the formation energy without anion corrections, the calculation gives -3077 meV/atom. The space-group type is C2, No. 5. As for the crystal system: monoclinic.

***

DFT (PBE) results for crystalline Ni3RuAu at its relaxed geometry.

POSCAR file:
```
Ni3RuAu
1.0
4.447 0.000 0.000
0.000 4.447 0.000
0.000 0.000 4.447
Ni Ru Au
3 1 1
Direct
0.000 0.000 0.500 Ni
0.000 0.500 0.000 Ni
0.500 0.000 0.000 Ni
0.000 0.000 0.000 Ru
0.500 0.500 0.500 Au
```

## Properties
As for the size of the total moment: 1.5 μB/cell. As for the density of states at the Fermi level: 9.182 states/eV per cell. For the energy relative to the lowest polymorph listed for this composition, the calculation gives 0 meV/atom. The space-group type is Pm-3m, No. 221. As for the crystal system: cubic.

***

DFT (PBE) results for crystalline V2FeReBi at its relaxed geometry.

POSCAR file:
```
V2FeReBi
1.0
4.670 0.000 0.000
0.000 4.670 0.000
0.000 0.000 4.652
V Fe Re Bi
2 1 1 1
Direct
0.000 0.500 0.000 V
0.500 0.000 0.000 V
0.000 0.000 0.500 Fe
0.000 0.000 0.000 Re
0.500 0.500 0.500 Bi
```

## Properties
As for the size of the total moment: 4.3 μB/cell. As for the density of states at the Fermi level: 5.887 states/eV per cell. The space-group type is P4/mmm, No. 123. The electronic total energy is -37.6 eV per cell. As for the crystal system: tetragonal.

***

DFT (PBE) results for crystalline HfP2Pd2 at its relaxed geometry.

POSCAR file:
```
HfP2Pd2
1.0
7.159 0.000 0.000
0.000 7.159 0.000
0.000 0.000 3.072
Hf P Pd
2 4 4
Direct
0.000 0.000 0.000 Hf
0.500 0.500 0.000 Hf
0.162 0.338 0.000 P
0.338 0.838 0.000 P
0.662 0.162 0.000 P
0.838 0.662 0.000 P
0.145 0.645 0.500 Pd
0.355 0.145 0.500 Pd
0.645 0.855 0.500 Pd
0.855 0.355 0.500 Pd
```

## Properties
As for the size of the total moment: 0.0 μB/cell. As for the density of states at the Fermi level: 3.300 states/eV per cell. The space-group type is P4/mbm, No. 127. The electronic total energy is -67.1 eV per cell. As for the crystal system: tetragonal.

***

DFT (PBE) results for crystalline BaCa3Br8 at its relaxed geometry.

POSCAR file:
```
BaCa3Br8
1.0
7.175 -4.483 0.000
7.175 4.483 0.000
-4.470 0.000 7.277
Ba Ca Br
1 3 8
Direct
0.000 0.000 0.000 Ba
0.000 0.500 0.500 Ca
0.500 0.000 0.500 Ca
0.500 0.500 0.000 Ca
0.256 0.256 0.740 Br
0.259 0.259 0.287 Br
0.259 0.717 0.745 Br
0.283 0.741 0.255 Br
0.717 0.259 0.745 Br
0.741 0.283 0.255 Br
0.741 0.741 0.713 Br
0.744 0.744 0.260 Br
```

## Properties
As for the size of the total moment: 0.0 μB/cell. As for the density of states at the Fermi level: 0.000 states/eV per cell. For the formation energy without anion corrections, the calculation gives -2050 meV/atom. The space-group type is C2/m, No. 12. As for the crystal system: monoclinic.